[1]
Density functional theory data (PBE) for a relaxed La8GaHg2 crystal.

N(E_F), states/eV per atom: 1.098
Polymorph energy (0 for the lowest one), meV per atom: 46
V, Å³/cell: 351

Unit cell a=9.1591 b=9.1591 c=9.1591 alpha=146.94 beta=121.82 gamma=68.57
Fractional coordinates of all 11 atoms:
La 0.1213 0.3487 0.7726
La 0.1334 0.1334 0.0000
La 0.3304 0.0000 0.3304
La 0.4240 0.6513 0.7726
La 0.5760 0.3487 0.2274
La 0.6696 0.0000 0.6696
La 0.8666 0.8666 0.0000
La 0.8787 0.6513 0.2274
Ga 0.0000 0.5000 0.5000
Hg 0.2997 0.7997 0.5000
Hg 0.7003 0.2003 0.5000

=====

[2]
Density functional theory data (PBE) for a relaxed LaGaHg crystal.

N(E_F), states/eV per atom: 0.054
Final energy, eV/atom: -3.344
V, Å³/cell: 154

Unit cell a=4.7722 b=4.7722 c=7.7854 alpha=90.00 beta=90.00 gamma=120.00
Fractional coordinates of all 6 atoms:
La 0.0000 0.0000 0.0000
La 0.0000 0.0000 0.5000
Ga 0.3333 0.6667 0.2957
Ga 0.6667 0.3333 0.7957
Hg 0.3333 0.6667 0.7198
Hg 0.6667 0.3333 0.2198

=====

[3]
Density functional theory data (PBE) for a relaxed LaGaHg crystal.

N(E_F), states/eV per atom: 0.057
Final energy, eV/atom: -3.341
V, Å³/cell: 153

Unit cell a=4.7757 b=4.7757 c=7.7588 alpha=90.00 beta=90.00 gamma=120.00
Fractional coordinates of all 6 atoms:
La 0.0000 0.0000 0.0000
La 0.0000 0.0000 0.5000
Ga 0.6667 0.3333 0.2039
Ga 0.6667 0.3333 0.7961
Hg 0.3333 0.6667 0.2826
Hg 0.3333 0.6667 0.7174

=====

[4]
Density functional theory data (PBE) for a relaxed LaGa4Hg crystal.

N(E_F), states/eV per atom: 0.640
Final energy, eV/atom: -3.151
V, Å³/cell: 131

Unit cell a=5.7044 b=5.7044 c=5.7044 alpha=60.00 beta=60.00 gamma=60.00
Fractional coordinates of all 6 atoms:
La 0.0000 0.0000 0.0000
Ga 0.3750 0.3750 0.3750
Ga 0.3750 0.3750 0.8750
Ga 0.3750 0.8750 0.3750
Ga 0.8750 0.3750 0.3750
Hg 0.7500 0.7500 0.7500

=====

[5]
Density functional theory data (PBE) for a relaxed LaGaHg crystal.

N(E_F), states/eV per atom: 0.401
Final energy, eV/atom: -3.305
V, Å³/cell: 152

Unit cell a=6.0894 b=6.0894 c=6.0894 alpha=132.54 beta=97.58 gamma=101.07
Fractional coordinates of all 6 atoms:
La 0.2201 0.2500 0.4701
La 0.7799 0.7500 0.5299
Ga 0.6237 0.9468 0.1769
Ga 0.7700 0.4468 0.8231
Hg 0.1981 0.5457 0.1524
Hg 0.3933 0.0457 0.8476

=====

[6]
Density functional theory data (PBE) for a relaxed LaGaHg crystal.

N(E_F), states/eV per atom: 1.004
Final energy, eV/atom: -3.237
V, Å³/cell: 155

Unit cell a=5.9151 b=5.9151 c=6.3521 alpha=91.98 beta=91.98 gamma=44.43
Fractional coordinates of all 6 atoms:
La 0.0000 0.0000 0.0000
La 0.6265 0.6265 0.4766
Ga 0.3061 0.3061 0.2197
Ga 0.7006 0.7006 0.9990
Hg 0.2942 0.2942 0.7496
Hg 0.9231 0.9231 0.4942

=====

[7]
Density functional theory data (PBE) for a relaxed LaGaHg3 crystal.

N(E_F), states/eV per atom: 1.072
Polymorph energy (0 for the lowest one), meV per atom: 257
V, Å³/cell: 139

Unit cell a=5.1841 b=5.1841 c=5.1841 alpha=90.00 beta=90.00 gamma=90.00
Fractional coordinates of all 5 atoms:
La 0.0000 0.0000 0.0000
Ga 0.5000 0.5000 0.5000
Hg 0.0000 0.5000 0.5000
Hg 0.5000 0.0000 0.5000
Hg 0.5000 0.5000 0.0000

=====

[8]
Density functional theory data (PBE) for a relaxed LaGaHg crystal.

N(E_F), states/eV per atom: 0.627
Final energy, eV/atom: -3.299
V, Å³/cell: 76

Unit cell a=4.7947 b=4.7947 c=3.8363 alpha=90.00 beta=90.00 gamma=120.00
Fractional coordinates of all 3 atoms:
La 0.0000 0.0000 0.0000
Ga 0.3333 0.6667 0.5000
Hg 0.6667 0.3333 0.5000

=====

[9]
Density functional theory data (PBE) for a relaxed LaGaHg crystal.

N(E_F), states/eV per atom: 0.843
Final energy, eV/atom: -3.295
V, Å³/cell: 153

Unit cell a=4.8171 b=3.8083 c=8.3457 alpha=90.00 beta=90.00 gamma=90.00
Fractional coordinates of all 6 atoms:
La 0.2500 0.0000 0.2345
La 0.7500 0.0000 0.7655
Ga 0.2500 0.5000 0.9221
Ga 0.7500 0.5000 0.0779
Hg 0.2500 0.5000 0.5913
Hg 0.7500 0.5000 0.4087

=====

[10]
Density functional theory data (PBE) for a relaxed LaGaHg crystal.

N(E_F), states/eV per atom: 0.222
Final energy, eV/atom: -3.231
V, Å³/cell: 83

Unit cell a=4.8886 b=4.8886 c=4.8886 alpha=60.00 beta=60.00 gamma=60.00
Fractional coordinates of all 3 atoms:
La 0.0000 0.0000 0.0000
Ga 0.7500 0.7500 0.7500
Hg 0.5000 0.5000 0.5000

=====

[11]
Density functional theory data (PBE) for a relaxed LaGaHg crystal.

N(E_F), states/eV per atom: 0.557
Final energy, eV/atom: -3.316
V, Å³/cell: 151

Unit cell a=6.1067 b=6.1067 c=7.7710 alpha=129.50 beta=129.50 gamma=46.26
Fractional coordinates of all 6 atoms:
La 0.0000 0.0000 0.0000
La 0.0591 0.0591 0.5594
Ga 0.3685 0.3685 0.1783
Ga 0.3688 0.3688 0.5602
Hg 0.6954 0.6954 0.4044
Hg 0.6957 0.6957 0.9863

=====

[12]
Density functional theory data (PBE) for a relaxed LaGaHg crystal.

N(E_F), states/eV per atom: 0.267
Final energy, eV/atom: -3.238
V, Å³/cell: 306

Unit cell a=6.5288 b=5.0508 c=9.2894 alpha=90.00 beta=90.00 gamma=90.00
Fractional coordinates of all 12 atoms:
La 0.2048 0.2500 0.0803
La 0.2952 0.7500 0.5803
La 0.7048 0.2500 0.4197
La 0.7952 0.7500 0.9197
Ga 0.1870 0.2500 0.4102
Ga 0.3130 0.7500 0.9102
Ga 0.6870 0.2500 0.0898
Ga 0.8130 0.7500 0.5898
Hg 0.0136 0.2500 0.7209
Hg 0.4864 0.7500 0.2209
Hg 0.5136 0.2500 0.7791
Hg 0.9864 0.7500 0.2791

=====

[13]
Density functional theory data (PBE) for a relaxed LaGaHg crystal.

N(E_F), states/eV per atom: 0.886
Final energy, eV/atom: -3.227
V, Å³/cell: 153

Unit cell a=5.8035 b=5.8035 c=6.3649 alpha=90.03 beta=90.03 gamma=134.45
Fractional coordinates of all 6 atoms:
La 0.1922 0.8078 0.7500
La 0.8078 0.1922 0.2500
Ga 0.1100 0.8900 0.2500
Ga 0.8900 0.1100 0.7500
Hg 0.5000 0.5000 0.0000
Hg 0.5000 0.5000 0.5000

=====

[14]
Density functional theory data (PBE) for a relaxed La6Ga2Hg crystal.

N(E_F), states/eV per atom: 1.295
Final energy, eV/atom: -4.358
V, Å³/cell: 572

Unit cell a=9.0679 b=9.0679 c=9.0679 alpha=111.29 beta=111.14 gamma=106.03
Fractional coordinates of all 18 atoms:
La 0.0352 0.8263 0.2088
La 0.2498 0.5503 0.3004
La 0.2498 0.9494 0.6996
La 0.2742 0.3219 0.5960
La 0.2742 0.6781 0.9523
La 0.3825 0.1737 0.2088
La 0.6175 0.8263 0.7912
La 0.7258 0.3219 0.0477
La 0.7258 0.6781 0.4040
La 0.7502 0.0506 0.3004
La 0.7502 0.4497 0.6996
La 0.9648 0.1737 0.7912
Ga 0.0000 0.1413 0.1413
Ga 0.0000 0.8587 0.8587
Ga 0.3795 0.3795 0.0000
Ga 0.6205 0.6205 0.0000
Hg 0.0000 0.5000 0.5000
Hg 0.5000 0.0000 0.5000

=====

[15]
Density functional theory data (PBE) for a relaxed La6GaHg3 crystal.

N(E_F), states/eV per atom: 1.055
Final energy, eV/atom: -3.758
V, Å³/cell: 606

Unit cell a=9.6829 b=5.4149 c=12.0017 alpha=90.00 beta=105.63 gamma=90.00
Fractional coordinates of all 20 atoms:
La 0.0137 0.2500 0.4079
La 0.1526 0.7500 0.1739
La 0.2736 0.2500 0.0021
La 0.3553 0.7500 0.8396
La 0.3835 0.2500 0.3503
La 0.3966 0.2500 0.6181
La 0.6034 0.7500 0.3819
La 0.6165 0.7500 0.6497
La 0.6447 0.2500 0.1604
La 0.7264 0.7500 0.9979
La 0.8474 0.2500 0.8261
La 0.9863 0.7500 0.5921
Ga 0.4500 0.7500 0.1185
Ga 0.5500 0.2500 0.8815
Hg 0.0268 0.7500 0.8762
Hg 0.1238 0.2500 0.7219
Hg 0.2665 0.7500 0.4655
Hg 0.7335 0.2500 0.5345
Hg 0.8762 0.7500 0.2781
Hg 0.9732 0.2500 0.1238

=====

[16]
Density functional theory data (PBE) for a relaxed LaLuGaHg crystal.

N(E_F), states/eV per atom: 0.933
Final energy, eV/atom: -3.686
V, Å³/cell: 104

Unit cell a=5.2829 b=5.2829 c=5.2829 alpha=60.00 beta=60.00 gamma=60.00
Fractional coordinates of all 4 atoms:
La 0.0000 0.0000 0.0000
Lu 0.5000 0.5000 0.5000
Ga 0.2500 0.2500 0.2500
Hg 0.7500 0.7500 0.7500

=====

[17]
Density functional theory data (PBE) for a relaxed La4GaHgN crystal.

N(E_F), states/eV per atom: 0.513
Final energy, eV/atom: -5.170
V, Å³/cell: 403

Unit cell a=8.4032 b=8.4032 c=7.3039 alpha=90.00 beta=90.00 gamma=128.55
Fractional coordinates of all 14 atoms:
La 0.0000 0.5000 0.0000
La 0.0000 0.5000 0.5000
La 0.0770 0.9230 0.7500
La 0.4174 0.5826 0.7500
La 0.5000 0.0000 0.0000
La 0.5000 0.0000 0.5000
La 0.5826 0.4174 0.2500
La 0.9230 0.0770 0.2500
Ga 0.1279 0.8721 0.2500
Ga 0.8721 0.1279 0.7500
Hg 0.3806 0.6194 0.2500
Hg 0.6194 0.3806 0.7500
N 0.2480 0.7520 0.7500
N 0.7520 0.2480 0.2500

=====

[18]
Density functional theory data (PBE) for a relaxed NaLaGaHg crystal.

N(E_F), states/eV per atom: 0.699
Final energy, eV/atom: -2.758
V, Å³/cell: 104

Unit cell a=5.2752 b=5.2752 c=5.2752 alpha=60.00 beta=60.00 gamma=60.00
Fractional coordinates of all 4 atoms:
Na 0.0000 0.0000 0.0000
La 0.5000 0.5000 0.5000
Ga 0.2500 0.2500 0.2500
Hg 0.7500 0.7500 0.7500

=====

[19]
Density functional theory data (PBE) for a relaxed LaNd2Ga2Hg2 crystal.

N(E_F), states/eV per atom: 0.617
Final energy, eV/atom: -3.425
V, Å³/cell: 189

Unit cell a=10.2101 b=10.2101 c=10.2101 alpha=26.67 beta=26.67 gamma=26.67
Fractional coordinates of all 7 atoms:
La 0.0000 0.0000 0.0000
Nd 0.1296 0.1296 0.1296
Nd 0.8704 0.8704 0.8704
Ga 0.2519 0.2519 0.2519
Ga 0.7481 0.7481 0.7481
Hg 0.3984 0.3984 0.3984
Hg 0.6016 0.6016 0.6016

=====

[20]
Density functional theory data (PBE) for a relaxed LaNdGaHg crystal.

N(E_F), states/eV per atom: 0.764
Polymorph energy (0 for the lowest one), meV per atom: 0
V, Å³/cell: 110

Unit cell a=3.7395 b=3.7395 c=7.8612 alpha=90.00 beta=90.00 gamma=90.00
Fractional coordinates of all 4 atoms:
La 0.0000 0.0000 0.0000
Nd 0.0000 0.0000 0.4693
Ga 0.5000 0.5000 0.2406
Hg 0.5000 0.5000 0.7213